Compound: CrCo2Rh
Source: Alexandria via LeMat-Bulk
Functional: GGA-PBE
Structure: optimized geometry

Summary:
- DOS(E_F) (states/eV/f.u.) = 6.49
- ΔH_f (0 K) (eV/atom) = 0.095
- total DFT energy (no corrections) (eV/atom) = -7.70
- SG = No. 12
- spin magnetization (Bohr magnetons per cell) = 2.195

Cell: 4.4299 4.4299 4.4223 Å, 100.36 100.36 34.14°
Fractional positions:
Cr  0.0000  0.0000  0.0000
Co  0.2529  0.2529  0.7647
Co  0.7471  0.7471  0.2353
Rh  0.5000  0.5000  0.5000